1.
A geometry-optimized CoHg2C structure, computed with PBE. Values from VASP.

Properties
Space group   I4_1/amd, No. 141
Calculated formation energy   0.830 eV per atom
V   327.8 Å³/cell
M_tot   0.0 μB per cell

Cell and atoms, written as Quantum ESPRESSO input:
```
&SYSTEM
  ibrav = 0, nat = 16, ntyp = 3
/
ATOMIC_SPECIES
Co 58.93 Co.upf
Hg 200.59 Hg.upf
C 12.01 C.upf
CELL_PARAMETERS angstrom
9.5033 0.0000 0.0000
0.0000 9.5033 0.0000
0.0000 0.0000 3.6294
ATOMIC_POSITIONS crystal
Co 0.0000 0.2500 0.3750
Co 0.0000 0.7500 0.6250
Co 0.5000 0.2500 0.1250
Co 0.5000 0.7500 0.8750
Hg 0.0000 0.0000 0.0000
Hg 0.0000 0.5000 0.0000
Hg 0.2500 0.2500 0.7500
Hg 0.2500 0.7500 0.2500
Hg 0.5000 0.0000 0.5000
Hg 0.5000 0.5000 0.5000
Hg 0.7500 0.2500 0.7500
Hg 0.7500 0.7500 0.2500
C 0.0000 0.2500 0.8750
C 0.0000 0.7500 0.1250
C 0.5000 0.2500 0.6250
C 0.5000 0.7500 0.3750
```

=====

2.
A geometry-optimized Ca2YPd2 structure, computed with PBE. Values from VASP.

Properties
Space group   P4/mbm, No. 127
Calculated formation energy   -0.617 eV per atom
V   251.6 Å³/cell
Excess energy over the best structure of this formula in the dataset   0.0 meV/atom
M_tot   0.0 μB per cell

Cell and atoms, written as Quantum ESPRESSO input:
```
&SYSTEM
  ibrav = 0, nat = 10, ntyp = 3
/
ATOMIC_SPECIES
Ca 40.08 Ca.upf
Y 88.91 Y.upf
Pd 106.42 Pd.upf
CELL_PARAMETERS angstrom
7.5536 0.0000 0.0000
0.0000 7.5536 0.0000
0.0000 0.0000 4.4098
ATOMIC_POSITIONS crystal
Ca 0.1643 0.3357 0.0000
Ca 0.3357 0.8357 0.0000
Ca 0.6643 0.1643 0.0000
Ca 0.8357 0.6643 0.0000
Y 0.0000 0.0000 0.5000
Y 0.5000 0.5000 0.5000
Pd 0.1325 0.6325 0.5000
Pd 0.3675 0.1325 0.5000
Pd 0.6325 0.8675 0.5000
Pd 0.8675 0.3675 0.5000
```

=====

3.
A geometry-optimized YPtF2 structure, computed with PBE. Values from VASP.

Properties
Space group   R-3m, No. 166
Formation energy from raw total energies   -1.72 eV/atom
V   236.9 Å³/cell
Excess energy over the best structure of this formula in the dataset   245.6 meV/atom
M_tot   1.0 μB per cell

Cell and atoms, written as Quantum ESPRESSO input:
```
&SYSTEM
  ibrav = 0, nat = 12, ntyp = 3
/
ATOMIC_SPECIES
Y 88.91 Y.upf
Pt 195.08 Pt.upf
F 19.00 F.upf
CELL_PARAMETERS angstrom
3.0693 0.0000 0.0000
-1.5347 2.6581 0.0000
0.0000 0.0000 29.0341
ATOMIC_POSITIONS crystal
Y 0.0000 0.0000 0.0000
Y 0.3333 0.6667 0.6667
Y 0.6667 0.3333 0.3333
Pt 0.0000 0.0000 0.5000
Pt 0.3333 0.6667 0.1667
Pt 0.6667 0.3333 0.8333
F 0.0000 0.0000 0.3820
F 0.0000 0.0000 0.6180
F 0.3333 0.6667 0.0487
F 0.3333 0.6667 0.2846
F 0.6667 0.3333 0.7154
F 0.6667 0.3333 0.9513
```

=====

Sequential VASP energy output: -3.403; -4.788; -5.785 eV per atom